This record from Alexandria describes a relaxed AlCrMo2 crystal. The functional is GGA-PBEsol.

The space group is R3m (No. 160, hexagonal axes) and the conventional cell measures 2.7256, 2.7256 and 26.8162 Å, with angles of 90.00, 90.00 and 120.00 degrees. The distinct sites, in fractional coordinates, are Al at (0.0000, 0.0000, 0.0000), Cr at (0.0000, 0.0000, 0.7446), Mo at (0.0000, 0.0000, 0.2465) and Mo at (0.0000, 0.0000, 0.4914).

Its formation energy is 0.297 eV per atom. The total energy comes out at -9.170 eV per atom.